# KLaCdBr6 | Alexandria | GGA-PBE | relaxed
data_KLaCdBr6
_space_group_name_H-M_alt 'P 1'
_space_group_IT_number 1
_cell_length_a 7.4629
_cell_length_b 7.4629
_cell_length_c 14.5323
_cell_angle_alpha 90.00
_cell_angle_beta 90.00
_cell_angle_gamma 120.00
loop_
_space_group_symop_operation_xyz
'x,y,z'
loop_
_atom_site_label
_atom_site_type_symbol
_atom_site_fract_x
_atom_site_fract_y
_atom_site_fract_z
K1 K 0.0000 0.0000 0.0000
K2 K 0.0000 0.0000 0.5000
La1 La 0.3333 0.6667 0.2500
La2 La 0.6667 0.3333 0.7500
Cd1 Cd 0.6667 0.3333 0.2500
Cd2 Cd 0.3333 0.6667 0.7500
Br1 Br 0.6397 0.6262 0.1358
Br2 Br 0.9865 0.3603 0.1358
Br3 Br 0.3603 0.9865 0.6358
Br4 Br 0.0135 0.6397 0.8642
Br5 Br 0.3738 0.3603 0.3642
Br6 Br 0.9865 0.6262 0.3642
Br7 Br 0.6262 0.9865 0.8642
Br8 Br 0.6397 0.0135 0.3642
Br9 Br 0.0135 0.3738 0.6358
Br10 Br 0.3738 0.0135 0.1358
Br11 Br 0.6262 0.6397 0.6358
Br12 Br 0.3603 0.3738 0.8642
# total DFT energy (no corrections)	-3.4425	eV per atom
# uncorrected formation energy	-1.556	eV per atom
# space group	P-31c (163)